A relaxed Li3Mg3Cd crystal, computed with PBE.

Results
Energy of formation ... -81.5 meV per atom
Density of states at the Fermi level ... 3.22 states/eV/f.u.
Total energy ... -24.0 eV/cell
M_tot ... 0.00 μB per formula unit

Lattice parameters (Å, degrees): 8.2642 8.2642 4.8975 90.00 90.00 120.00
Last column: nearest neighbours and their distance in Å.
Space group P6_3/mmc (No. 194)
Asymmetric unit:
1 Li 0.1030 0.5515 0.2500 [6 per cell]  4 Li 2.86, 3 Cd 2.95-3.12, 2 Mg 3.01
2 Mg 0.1325 0.2650 0.7500 [6 per cell]  1 Cd 2.87, 2 Li 3.01, 4 Mg 3.10
3 Cd 0.3333 0.6667 0.7500 [2 per cell]  3 Mg 2.87, 9 Li 2.95-3.12